Material: Rb2NbSnI6
Method: DFT, PBE
State: relaxed

a = 8.565 Å, b = 8.565 Å, c = 8.564 Å
α = 59.99°, β = 59.99°, γ = 90.00°
Fractional coordinates of all 10 atoms:
1 I 0.259 0.259 0.482
2 I 0.741 0.741 0.518
3 I 0.259 0.259 0.000
4 I 0.741 0.741 0.000
5 I 0.741 0.259 0.000
6 I 0.259 0.741 0.000
7 Nb 0.500 0.500 0.000
8 Sn 0.000 0.000 0.000
9 Rb 0.750 0.250 0.500
10 Rb 0.250 0.750 0.500

Summary:
Spin magnetization in μB per cell: 3.0
E in eV per formula unit: -32.506
Uncorrected formation energy in meV/atom: -720
DOS(E_F) in states/eV per cell: 0.000